No. 1
Computed, not measured: a relaxed Zr2Mn2Pb crystal at the PBE-GGA level of DFT.

Properties
DFT total energy	-7.795	eV per atom
space-group type	P4/mbm
formation enthalpy at 0 K	33	meV per atom

Cell lengths 7.1241, 7.1241, 3.6046 Å; angles 90.00, 90.00, 90.00 degrees
With the nearest neighbours (Å) after each atom.
Element x y z (fractional)
Pb 0.0000 0.0000 0.0000  4 Mn 2.93, 8 Zr 3.17
Pb 0.5000 0.5000 0.0000  4 Mn 2.93, 8 Zr 3.17
Mn 0.3988 0.8988 0.0000  1 Mn 2.04
Mn 0.8988 0.6012 0.0000  1 Mn 2.04
Mn 0.6012 0.1012 0.0000  1 Mn 2.04
Mn 0.1012 0.3988 0.0000  1 Mn 2.04
Zr 0.1847 0.6847 0.5000  6 Mn 2.78-2.81
Zr 0.6847 0.8153 0.5000  6 Mn 2.78-2.81
Zr 0.8153 0.3153 0.5000  6 Mn 2.78-2.81
Zr 0.3153 0.1847 0.5000  6 Mn 2.78-2.81

No. 2
Computed, not measured: a relaxed ZrMn2Pb crystal at the PBE-GGA level of DFT.

Properties
DFT total energy	-7.480	eV per atom
space-group type	P4mm
formation enthalpy at 0 K	169	meV per atom

Cell lengths 3.1714, 3.1704, 7.5476 Å; angles 90.00, 90.00, 90.00 degrees
With the nearest neighbours (Å) after each atom.
Element x y z (fractional)
Mn 0.0000 0.0000 0.0410  4 Mn 2.53
Mn 0.5000 0.5000 0.1964  4 Mn 2.53
Pb 0.0000 0.0000 0.4704  5 Mn 3.05-3.24, 4 Pb 3.17, 4 Zr 3.31
Zr 0.5000 0.5000 0.7922  5 Mn 2.92-3.05, 4 Zr 3.17

No. 3
Computed, not measured: a relaxed ZrMn3Pb crystal at the PBE-GGA level of DFT.

Properties
DFT total energy	-5.961	eV per atom
space-group type	Pm-3m
formation enthalpy at 0 K	1992	meV per atom
energy above the lowest structure with this stoichiometry	0.797	eV/atom

Cell lengths 4.6894, 4.6894, 4.6894 Å; angles 90.00, 90.00, 90.00 degrees
With the nearest neighbours (Å) after each atom.
Element x y z (fractional)
Pb 0.0000 0.0000 0.0000  6 Mn 2.34
Mn 0.0000 0.5000 0.0000  2 Pb 2.34
Mn 0.0000 0.0000 0.5000  2 Pb 2.34
Mn 0.5000 0.0000 0.0000  2 Pb 2.34
Zr 0.5000 0.5000 0.5000  12 Mn 3.32